[1]
FeP | Alexandria | PBE | relaxed; uncorrected energy = -7.2778 eV/atom; space group = P2_12_12_1; energy of formation = -0.3415 eV per atom; spin magnetization = 0.0 μB per cell
1.0
-5.5749 -4.1803 1.7929
2.9384 -3.1327 1.8326
-0.3802 2.8796 5.5320
P Fe
8 8
Direct
0.1664 0.4894 0.3143
0.8336 0.9894 0.1857
0.1173 0.0132 0.6602
0.3336 0.5106 0.8143
0.3827 0.9868 0.1602
0.6664 0.0106 0.6857
0.8827 0.5132 0.8398
0.6173 0.4868 0.3398
0.8944 0.5411 0.1840
0.1202 0.2674 0.9534
0.3944 0.9589 0.8161
0.6202 0.2326 0.0466
0.1056 0.0411 0.3160
0.8798 0.7674 0.5466
0.3798 0.7326 0.4534
0.6056 0.4589 0.6839

[2]
FeP | Alexandria | PBE | relaxed; uncorrected energy = -7.0573 eV/atom; space group = P4/m; energy of formation = -0.1210 eV per atom; spin magnetization = 0.7 μB per cell
1.0
10.6384 0.0000 0.0000
0.0000 10.6384 0.0000
0.0000 0.0000 2.6539
Fe P
8 8
Direct
0.5870 0.7613 0.5000
0.4308 0.8904 0.0000
0.4130 0.2387 0.5000
0.2387 0.5870 0.5000
0.7613 0.4130 0.5000
0.8904 0.5692 0.0000
0.5692 0.1096 0.0000
0.1096 0.4308 0.0000
0.3802 0.7353 0.5000
0.6370 0.9158 0.0000
0.3630 0.0842 0.0000
0.7353 0.6198 0.5000
0.6198 0.2647 0.5000
0.2647 0.3802 0.5000
0.0842 0.6370 0.0000
0.9158 0.3630 0.0000

[3]
PaFe2P | Alexandria | PBE | relaxed; uncorrected energy = -8.4982 eV/atom; space group = R-3m; energy of formation = -0.5404 eV per atom; spin magnetization = 0.0 μB per cell
1.0
3.7628 0.0000 0.0000
1.8814 3.2587 0.0000
1.8814 1.0862 4.7347
P Fe Pa
1 2 1
Direct
0.5000 0.5000 0.5000
0.2149 0.2149 0.3553
0.7851 0.7851 0.6447
0.0000 0.0000 0.0000

[4]
PaFe2P | Alexandria | PBE | relaxed; uncorrected energy = -8.5363 eV/atom; space group = P4/nmm; energy of formation = -0.5785 eV per atom; spin magnetization = 2.1 μB per cell
1.0
-2.0510 -2.5270 1.9492
0.8108 -2.6536 -2.5870
6.8119 -2.1672 4.3579
P Fe Pa
2 4 2
Direct
0.5000 0.0000 0.6459
0.0000 0.5000 0.3541
0.5000 0.0000 0.9520
0.0000 0.0000 0.5000
0.0000 0.5000 0.0480
0.5000 0.5000 0.5000
0.5000 0.0000 0.2262
0.0000 0.5000 0.7738

[5]
PaFe3P2 | Alexandria | PBE | relaxed; uncorrected energy = -8.4390 eV/atom; space group = C2/m; energy of formation = -0.8217 eV per atom; spin magnetization = 2.4 μB per cell
1.0
-2.3100 0.9723 2.7029
-4.6839 -2.3904 -5.6564
2.3827 -7.3751 4.6893
Fe P Pa
9 6 3
Direct
0.0477 0.0955 0.3397
0.2177 0.4354 0.3903
0.7823 0.5646 0.6097
0.5000 0.0000 0.5000
0.6769 0.3538 0.9592
0.9523 0.9045 0.6603
0.6225 0.2451 0.1996
0.3231 0.6462 0.0408
0.3775 0.7549 0.8004
0.1975 0.3949 0.1298
0.3587 0.7175 0.5501
0.5326 0.0652 0.7743
0.4674 0.9348 0.2257
0.6413 0.2825 0.4499
0.8025 0.6051 0.8702
0.0000 0.0000 0.0000
0.1581 0.3162 0.7008
0.8419 0.6838 0.2992

[6]
PaFe3P2 | Alexandria | PBE | relaxed; uncorrected energy = -8.3580 eV/atom; space group = C2/m; energy of formation = -0.7408 eV per atom; spin magnetization = 2.7 μB per cell
1.0
-2.9726 0.7501 -2.1197
0.7343 -7.4508 -0.3895
-3.2649 2.2332 5.3687
P Fe Pa
4 6 2
Direct
0.5205 0.0411 0.1892
0.8104 0.6207 0.3330
0.1896 0.3793 0.6670
0.4795 0.9589 0.8108
0.4061 0.8122 0.3280
0.3188 0.6377 0.5711
0.0386 0.0771 0.3705
0.9614 0.9229 0.6295
0.5939 0.1878 0.6720
0.6812 0.3623 0.4289
0.8474 0.6948 0.9333
0.1526 0.3052 0.0667